(one)
Compound: Ca2MnO4
Source: the Alexandria database
Functional: GGA+U
Structure: relaxed

- Total magnetic moment: 3.01 μB/f.u.

Unit cell a=5.2510 b=5.2510 c=24.4584 alpha=90.00 beta=90.00 gamma=90.00
Closest atoms and distances in Å follow each position.
Space group I4_1/acd (No. 142, origin choice 2)
Asymmetric unit:
Ca1 0.0000 0.2500 0.0501 (multiplicity 16)  3 O 2.31-2.34
Mn1 0.0000 0.2500 0.3750 (multiplicity 8)  6 O 1.90-1.97
O1 0.0000 0.2500 0.2944 (multiplicity 16)  1 Mn 1.97
O2 0.1958 0.0542 0.1250 (multiplicity 16)  2 Mn 1.90

(two)
Compound: Ca2MnO4
Source: the Alexandria database
Functional: GGA+U
Structure: relaxed

- Total magnetic moment: 3.07 μB/f.u.

Unit cell a=3.7689 b=3.7689 c=11.8677 alpha=90.00 beta=90.00 gamma=90.00
Closest atoms and distances in Å follow each position.
Space group I4/mmm (No. 139)
Asymmetric unit:
Ca1 0.0000 0.0000 0.1449 (multiplicity 4)  1 O 2.27
Mn1 0.0000 0.0000 0.5000 (multiplicity 2)  6 O 1.88-1.94
O1 0.0000 0.0000 0.3363 (multiplicity 4)  1 Mn 1.94
O2 0.0000 0.5000 0.0000 (multiplicity 4)  2 Mn 1.88

Which structure wins on stability? (one) wins.

(one)
Compound: CaMn2O4
Source: the Alexandria database
Functional: GGA+U
Structure: relaxed

- Total magnetic moment: 8.00 μB/f.u.

Unit cell a=7.2050 b=9.1595 c=10.5962 alpha=90.00 beta=90.00 gamma=90.00
Closest atoms and distances in Å follow each position.
Space group Fddd (No. 70, origin choice 2)
Asymmetric unit:
Ca1 0.1250 0.1250 0.1250 (multiplicity 8)  4 O 2.26
Mn1 0.0000 0.0000 0.5000 (multiplicity 16)  4 O 1.96
O1 0.0165 0.2872 0.9819 (multiplicity 32)  2 Mn 1.96

(two)
Compound: CaMn2O4
Source: the Alexandria database
Functional: GGA+U
Structure: relaxed

- Total magnetic moment: 8.00 μB/f.u.

Unit cell a=13.3919 b=2.9351 c=10.5699 alpha=90.00 beta=125.01 gamma=90.00
Closest atoms and distances in Å follow each position.
Space group C2/m (No. 12)
Asymmetric unit:
Ca1 0.1261 0.0000 0.1690 (multiplicity 4)  5 O 2.30-2.46
Mn1 0.1262 0.0000 0.8694 (multiplicity 4)  5 O 1.94-2.16
Mn2 0.1399 0.5000 0.4874 (multiplicity 4)  4 O 1.92-2.00
O1 0.0367 0.0000 0.3634 (multiplicity 4)  2 Mn 1.92
O2 0.0506 0.5000 0.9226 (multiplicity 4)  2 Mn 2.04
O3 0.2148 0.5000 0.8573 (multiplicity 4)  2 Mn 1.94
O4 0.2466 0.5000 0.3770 (multiplicity 4)  2 Mn 2.00

(three)
Compound: CaMn2O4
Source: the Alexandria database
Functional: GGA+U
Structure: relaxed

- Total magnetic moment: 7.51 μB/f.u.

Unit cell a=5.1581 b=6.1677 c=11.1600 alpha=90.16 beta=90.27 gamma=93.28
Closest atoms and distances in Å follow each position.
Space group P-1 (No. 2)
Asymmetric unit:
Ca1 0.0072 0.2886 0.2501 (multiplicity 2)  6 O 2.35-2.44
Ca2 0.3644 0.2206 0.7475 (multiplicity 2)  6 O 2.31-2.46
Mn1 0.0026 0.7539 0.0148 (multiplicity 2)  4 O 1.94-2.03
Mn2 0.0063 0.7609 0.4891 (multiplicity 2)  4 O 1.95-1.99
Mn3 0.5000 0.0000 0.0000 (multiplicity 1)  4 O 1.95-2.00
Mn4 0.5000 0.0000 0.5000 (multiplicity 1)  6 O 2.00-2.04
Mn5 0.5000 0.5000 0.0000 (multiplicity 1)  4 O 1.95-2.04
Mn6 0.5000 0.5000 0.5000 (multiplicity 1)  6 O 1.99-2.19
O1 0.1800 0.9658 0.8978 (multiplicity 2)  3 Mn 2.00-2.24
O2 0.1805 0.4655 0.6062 (multiplicity 2)  2 Mn 1.96-2.04
O3 0.1849 0.4694 0.8889 (multiplicity 2)  2 Mn 1.96-2.04
O4 0.1868 0.9640 0.6052 (multiplicity 2)  2 Mn 1.99-2.00
O5 0.2998 0.2204 0.4106 (multiplicity 2)  2 Mn 1.95-2.02
O6 0.3007 0.2779 0.0897 (multiplicity 2)  2 Mn 1.95
O7 0.3305 0.7753 0.1004 (multiplicity 2)  2 Mn 1.94-1.95
O8 0.3409 0.7362 0.4101 (multiplicity 2)  3 Mn 1.96-2.04

(four)
Compound: CaMn2O4
Source: the Alexandria database
Functional: GGA+U
Structure: relaxed

- Total magnetic moment: 8.00 μB/f.u.

Unit cell a=10.8538 b=6.2073 c=11.1893 alpha=90.00 beta=109.73 gamma=90.00
Closest atoms and distances in Å follow each position.
Space group Cc (No. 9)
Asymmetric unit:
Ca1 0.0000 0.2393 0.0000 (multiplicity 4)  4 O 2.19-2.25
Ca2 0.1882 0.2590 0.5781 (multiplicity 4)  6 O 2.28-2.33
Mn1 0.1880 0.0087 0.3253 (multiplicity 4)  4 O 1.95-2.01
Mn2 0.1888 0.4966 0.8289 (multiplicity 4)  6 O 1.94-2.02
Mn3 0.3783 0.2530 0.1549 (multiplicity 4)  4 O 2.10-2.14
Mn4 0.4404 0.2432 0.8247 (multiplicity 4)  4 O 1.94-2.00
O1 0.0645 0.4779 0.4189 (multiplicity 4)  2 Mn 1.94-1.96
O2 0.0657 0.0402 0.4177 (multiplicity 4)  2 Mn 1.94-1.95
O3 0.0794 0.2940 0.2106 (multiplicity 4)  1 Mn 1.95
O4 0.0863 0.2443 0.7291 (multiplicity 4)  3 Mn 2.01-2.13
O5 0.2838 0.2566 0.4236 (multiplicity 4)  2 Mn 1.95-1.97
O6 0.3020 0.2810 0.9528 (multiplicity 4)  2 Mn 2.02-2.14
O7 0.3139 0.0182 0.7300 (multiplicity 4)  3 Mn 1.99-2.10
O8 0.3173 0.4770 0.7352 (multiplicity 4)  3 Mn 2.00-2.11

Which structure wins on stability? (one) wins.